# NdHgO2F PBE optimized geometry
data_NdHgO2F
_cell_length_a 6.7639
_cell_length_b 3.6084
_cell_length_c 6.9165
_cell_angle_alpha 90.00
_cell_angle_beta 97.28
_cell_angle_gamma 90.00
_symmetry_space_group_name_H-M 'P 1'
_symmetry_Int_Tables_number 1
_symmetry_space_group_name_Hall 'P 1'
loop_
_atom_site_label
_atom_site_type_symbol
_atom_site_fract_x
_atom_site_fract_y
_atom_site_fract_z
Nd1 Nd 0.2444 0.2500 0.3833
Nd2 Nd 0.7556 0.7500 0.6167
Hg1 Hg 0.3198 0.7500 0.8746
Hg2 Hg 0.6802 0.2500 0.1254
O1 O 0.2875 0.7500 0.1592
O2 O 0.3813 0.7500 0.5942
O3 O 0.6187 0.2500 0.4058
O4 O 0.7125 0.2500 0.8408
F1 F 0.0244 0.2500 0.6430
F2 F 0.9756 0.7500 0.3570
# crystal system: monoclinic
# E_form (uncorrected): -11.7 eV/f.u.



# Pm3HfP4 PBE optimized geometry
data_Pm3HfP4
_cell_length_a 6.9512
_cell_length_b 6.9512
_cell_length_c 4.0054
_cell_angle_alpha 90.00
_cell_angle_beta 90.00
_cell_angle_gamma 109.19
_symmetry_space_group_name_H-M 'P 1'
_symmetry_Int_Tables_number 1
_symmetry_space_group_name_Hall 'P 1'
loop_
_atom_site_label
_atom_site_type_symbol
_atom_site_fract_x
_atom_site_fract_y
_atom_site_fract_z
Pm1 Pm 0.0000 0.0000 0.0000
Pm2 Pm 0.0000 0.5000 0.5000
Pm3 Pm 0.5000 0.0000 0.5000
Hf1 Hf 0.5000 0.5000 0.0000
P1 P 0.2610 0.7390 0.0000
P2 P 0.2697 0.2697 0.5000
P3 P 0.7303 0.7303 0.5000
P4 P 0.7390 0.2610 0.0000
# crystal system: orthorhombic
# calculated formation energy: -1.4736 eV/atom



# AcTlIr4 PBE optimized geometry
data_AcTlIr4
_cell_length_a 5.4891
_cell_length_b 5.4891
_cell_length_c 5.4891
_cell_angle_alpha 60.00
_cell_angle_beta 60.00
_cell_angle_gamma 60.00
_symmetry_space_group_name_H-M 'P 1'
_symmetry_Int_Tables_number 1
_symmetry_space_group_name_Hall 'P 1'
loop_
_atom_site_label
_atom_site_type_symbol
_atom_site_fract_x
_atom_site_fract_y
_atom_site_fract_z
Ac1 Ac 0.0000 0.0000 0.0000
Tl1 Tl 0.2500 0.2500 0.2500
Ir1 Ir 0.1270 0.6243 0.6243
Ir2 Ir 0.6243 0.1270 0.6243
Ir3 Ir 0.6243 0.6243 0.1270
Ir4 Ir 0.6243 0.6243 0.6243
# crystal system: cubic
# calculated formation energy: -0.0946 eV/atom



# Cs3IrO3 PBE optimized geometry
data_Cs3IrO3
_cell_length_a 7.0064
_cell_length_b 7.0064
_cell_length_c 8.5224
_cell_angle_alpha 90.34
_cell_angle_beta 90.34
_cell_angle_gamma 106.07
_symmetry_space_group_name_H-M 'P 1'
_symmetry_Int_Tables_number 1
_symmetry_space_group_name_Hall 'P 1'
loop_
_atom_site_label
_atom_site_type_symbol
_atom_site_fract_x
_atom_site_fract_y
_atom_site_fract_z
Cs1 Cs 0.1975 0.8025 0.0000
Cs2 Cs 0.2000 0.8000 0.5000
Cs3 Cs 0.3346 0.3346 0.7540
Cs4 Cs 0.6654 0.6654 0.2460
Cs5 Cs 0.8000 0.2000 0.5000
Cs6 Cs 0.8025 0.1975 0.0000
Ir1 Ir 0.2336 0.2336 0.2497
Ir2 Ir 0.7664 0.7664 0.7503
O1 O 0.0109 0.0109 0.2532
O2 O 0.1949 0.4866 0.2456
O3 O 0.4866 0.1949 0.2456
O4 O 0.5134 0.8051 0.7544
O5 O 0.8051 0.5134 0.7544
O6 O 0.9891 0.9891 0.7468
# crystal system: monoclinic
# E_form (uncorrected): -7.3 eV/f.u.
# energy above the lowest structure with this stoichiometry: 0.021 eV/atom



# Pm8Er3 PBE optimized geometry
data_Pm8Er3
_cell_length_a 7.5784
_cell_length_b 7.5784
_cell_length_c 7.5784
_cell_angle_alpha 105.37
_cell_angle_beta 105.37
_cell_angle_gamma 105.37
_symmetry_space_group_name_H-M 'P 1'
_symmetry_Int_Tables_number 1
_symmetry_space_group_name_Hall 'P 1'
loop_
_atom_site_label
_atom_site_type_symbol
_atom_site_fract_x
_atom_site_fract_y
_atom_site_fract_z
Pm1 Pm 0.1824 0.6759 0.5729
Pm2 Pm 0.2281 0.2281 0.2281
Pm3 Pm 0.3241 0.4271 0.8176
Pm4 Pm 0.4271 0.8176 0.3241
Pm5 Pm 0.5729 0.1824 0.6759
Pm6 Pm 0.6759 0.5729 0.1824
Pm7 Pm 0.7719 0.7719 0.7719
Pm8 Pm 0.8176 0.3241 0.4271
Er1 Er 0.0000 0.0000 0.5000
Er2 Er 0.0000 0.5000 0.0000
Er3 Er 0.5000 0.0000 0.0000
# crystal system: trigonal
# energy above the lowest structure with this stoichiometry: 0.000 eV/atom
# calculated formation energy: 0.3588 eV/atom



# LiAcInSi PBE optimized geometry
data_LiAcInSi
_cell_length_a 5.2867
_cell_length_b 5.2867
_cell_length_c 5.2867
_cell_angle_alpha 60.00
_cell_angle_beta 60.00
_cell_angle_gamma 60.00
_symmetry_space_group_name_H-M 'P 1'
_symmetry_Int_Tables_number 1
_symmetry_space_group_name_Hall 'P 1'
loop_
_atom_site_label
_atom_site_type_symbol
_atom_site_fract_x
_atom_site_fract_y
_atom_site_fract_z
Li1 Li 0.0000 0.0000 0.0000
Ac1 Ac 0.5000 0.5000 0.5000
In1 In 0.7500 0.7500 0.7500
Si1 Si 0.2500 0.2500 0.2500
# crystal system: cubic
# E_form (uncorrected): -0.7 eV/f.u.